Below is a relaxed PrEr6Tm3 crystal, with properties calculated at the PBE level.

Cell: 10.918 10.918 6.180 Å, 90.00 90.00 121.57°
Sites, in units of the cell vectors:
Pr 0.211 0.789 0.500
Pr 0.789 0.211 0.000
Er 0.019 0.441 0.342
Er 0.049 0.951 0.783
Er 0.286 0.374 0.197
Er 0.310 0.690 0.060
Er 0.374 0.286 0.697
Er 0.441 0.019 0.842
Er 0.559 0.981 0.342
Er 0.626 0.714 0.197
Er 0.690 0.310 0.560
Er 0.714 0.626 0.697
Er 0.951 0.049 0.283
Er 0.981 0.559 0.842
Tm 0.077 0.290 0.749
Tm 0.290 0.077 0.249
Tm 0.386 0.614 0.596
Tm 0.614 0.386 0.096
Tm 0.710 0.923 0.749
Tm 0.923 0.710 0.249

Computed properties:
Calculated formation energy = 0.15 eV per atom
Total moment = 0.0 Bohr magnetons per cell
Offset from the most stable computed form = 0.000 eV/atom